No. 1
Material: Al4P5
Method: DFT, PBE
State: optimized geometry

Cell and atoms, written as POSCAR:
```
Al4P5
1.0
7.635 0.000 0.000
-3.817 6.612 0.000
0.000 0.000 5.420
Al P
8 10
Cartesian
0.000 0.000 0.000
0.000 0.000 2.710
-1.455 2.520 1.355
-2.362 4.092 4.065
2.910 0.000 1.355
1.455 2.520 4.065
4.725 0.000 4.065
2.362 4.092 1.355
-1.063 1.841 4.065
-2.755 4.771 1.355
2.126 0.000 4.065
1.063 1.841 1.355
0.000 4.408 0.000
0.000 4.408 2.710
3.817 2.204 0.000
3.817 2.204 2.710
5.509 0.000 1.355
2.755 4.771 4.065
```

Output
The calculation puts the energy above the most stable polymorph in this dataset at 0 meV per atom.



No. 2
Material: Al5P3
Method: DFT, PBE
State: optimized geometry

Cell and atoms, written as POSCAR:
```
Al5P3
1.0
2.842 -6.872 0.000
2.842 6.872 0.000
-2.826 0.000 6.888
Al P
10 6
Cartesian
0.000 0.000 0.000
1.557 5.479 2.041
1.301 2.034 1.395
1.307 4.841 5.485
1.301 -2.034 1.395
2.853 0.000 0.000
1.557 1.402 4.849
1.557 -1.402 4.849
1.557 -5.479 2.041
1.307 -4.841 5.485
-0.444 0.000 4.302
1.414 3.434 3.437
0.476 2.574 6.881
2.395 0.000 2.577
1.414 -3.434 3.437
0.476 -2.574 6.881
```

Output
The calculation puts the energy above the most stable polymorph in this dataset at 0 meV per atom.



No. 3
Material: AlP5
Method: DFT, PBE
State: optimized geometry

Cell and atoms, written as POSCAR:
```
AlP5
1.0
2.573 0.000 0.000
0.000 2.573 0.000
0.000 0.000 14.211
Al P
1 5
Cartesian
0.000 0.000 0.000
0.000 0.000 4.908
0.000 0.000 9.303
1.287 1.287 1.977
1.287 1.287 7.105
1.287 1.287 12.234
```

Output
The calculation puts the energy above the most stable polymorph in this dataset at 533 meV per atom.



No. 4
Material: AlP3
Method: DFT, PBE
State: optimized geometry

Cell and atoms, written as POSCAR:
```
AlP3
1.0
1.579 -2.205 0.000
1.579 2.205 0.000
0.000 0.000 8.552
Al P
1 3
Cartesian
0.000 0.000 0.000
0.000 0.000 4.276
1.579 0.000 2.141
1.579 0.000 6.411
```



No. 5
Material: Al3P2
Method: DFT, PBE
State: optimized geometry

Cell and atoms, written as POSCAR:
```
Al3P2
1.0
0.000 5.963 2.572
5.406 0.000 2.572
5.406 5.963 0.000
Al P
6 4
Cartesian
0.000 0.000 0.000
2.703 2.982 1.286
5.719 4.522 2.749
5.094 7.404 2.749
7.797 7.504 4.035
8.422 10.386 4.035
7.169 6.514 1.593
4.466 2.431 2.879
3.644 5.413 1.593
6.347 9.495 2.879
```



No. 6
Material: AlP3
Method: DFT, PBE
State: optimized geometry

Cell and atoms, written as POSCAR:
```
AlP3
1.0
4.408 0.000 0.000
0.000 3.522 0.000
-1.404 0.000 4.203
Al P
1 3
Cartesian
0.000 0.000 0.000
0.202 1.761 3.281
1.502 0.000 2.101
2.801 1.761 0.922
```



no.,electronic total energy (eV/atom),D(E_F) (states/eV per cell),ΔH_f (0 K) (kJ/mol of atoms)
1,-4.538,7.31,12.62
2,-4.472,2.74,-10.02
3,-4.520,2.59,59.07
4,-4.461,1.43,51.29
5,-4.486,3.73,-7.35
6,-5.038,0.81,-4.34